Entry from the Alexandria database: an optimized crystal structure of CeDyHo2 (PBE).

```
4
Lattice="3.5332 0.0000 0.0000 -1.7666 3.0599 0.0000 0.0000 0.0000 11.2795" Properties=species:S:1:pos:R:3 pbc="T T T"
Ce 0.0000 0.0000 0.0000
Dy 0.0000 0.0000 5.6398
Ho 0.0000 2.0399 8.4936
Ho 1.7666 1.0200 2.7859
```

Output
The value obtained for the energy above the lowest structure with this stoichiometry is 0.000 eV per atom. The crystal system is trigonal. The calculation puts the calculated formation energy at 0.1 eV/f.u. The uncorrected energy is -4.90 eV per atom.